*one*
DFT (PBE) results for a relaxed structure of LaPm6Tm3.

a = 9.9152 Å, b = 9.9152 Å, c = 12.0284 Å
α = 90.00°, β = 90.00°, γ = 120.00°
With the nearest neighbours (Å) after each atom.
Space group R3 (No. 146, hexagonal axes)
One atom of each set of equivalent atoms:
La 0.0000 0.0000 0.0000 [3 per cell]  2 Tm 3.06-3.07, 3 Pm 3.29
Pm 0.9998 0.3318 0.0001 [9 per cell]  1 La 3.29, 2 Tm 3.44
Pm 0.9996 0.6719 0.5000 [9 per cell]  3 Tm 3.25-3.50
Tm 0.0000 0.0000 0.2553 [3 per cell]  1 Tm 2.95, 1 La 3.07
Tm 0.0000 0.0000 0.5004 [3 per cell]  2 Tm 2.95, 3 Pm 3.25
Tm 0.0000 0.0000 0.7456 [3 per cell]  1 Tm 2.95, 1 La 3.06

---

*two*
DFT (PBE) results for a relaxed structure of LaPm6Tm3.

a = 11.0003 Å, b = 19.2243 Å, c = 6.3065 Å
α = 90.00°, β = 90.00°, γ = 90.00°
With the nearest neighbours (Å) after each atom.
Space group Cmc2_1 (No. 36)
One atom of each set of equivalent atoms:
La 0.0000 0.1900 0.0000 [4 per cell]  4 Pm 3.26-3.35, 2 Tm 3.34
Pm 0.0000 0.0366 0.2200 [4 per cell]  1 La 3.26, 2 Pm 3.45, 4 Tm 3.52-3.55
Pm 0.0000 0.2825 0.4496 [4 per cell]  2 Pm 3.12, 1 La 3.35, 1 Tm 3.42
Pm 0.1672 0.4592 0.5482 [8 per cell]  4 Tm 3.46-3.71, 5 Pm 3.52-3.82
Pm 0.2351 0.2903 0.7267 [8 per cell]  1 Pm 3.12, 1 La 3.27, 2 Tm 3.29-3.50
Tm 0.0000 0.3842 0.0053 [4 per cell]  7 Pm 3.42-3.71, 2 Tm 3.67, 1 La 3.74
Tm 0.1740 0.1146 0.6308 [8 per cell]  6 Pm 3.29-3.55, 1 La 3.34, 1 Tm 3.67

---

So which one wins? Going from most stable to least: *two*, *one*.